[1]
The following is a DFT calculation (PBE-GGA) of crystalline V2Ni2As at its relaxed geometry.

abc: 5.982 5.982 3.695
angles: 90.00 90.00 90.00
Fractional positions:
Ni: 0.363 0.863 0.000
Ni: 0.863 0.637 0.000
Ni: 0.637 0.137 0.000
Ni: 0.137 0.363 0.000
As: 0.000 0.000 0.000
As: 0.500 0.500 0.000
V: 0.155 0.655 0.500
V: 0.655 0.845 0.500
V: 0.845 0.345 0.500
V: 0.345 0.155 0.500

Output
The value obtained for the energy of formation from the pure elements is -0.32 eV/f.u. As for the symmetry: P4/mbm. Its total magnetization is 1.28 μB per formula unit.

---

[2]
The following is a DFT calculation (PBE-GGA) of crystalline VNi14As at its relaxed geometry.

abc: 5.046 5.046 6.983
angles: 90.00 90.00 89.99
Fractional positions:
V: 0.375 0.375 0.500
Ni: 0.875 0.875 0.000
Ni: 0.375 0.375 0.000
Ni: 0.875 0.375 0.500
Ni: 0.875 0.375 0.000
Ni: 0.375 0.875 0.500
Ni: 0.375 0.875 0.000
Ni: 0.624 0.126 0.250
Ni: 0.624 0.126 0.750
Ni: 0.126 0.624 0.250
Ni: 0.126 0.624 0.750
Ni: 0.623 0.623 0.250
Ni: 0.623 0.623 0.750
Ni: 0.127 0.127 0.250
Ni: 0.127 0.127 0.750
As: 0.875 0.875 0.500

Output
The value obtained for the energy of formation from the pure elements is -1.20 eV/f.u. As for the symmetry: P4/mmm. Its total magnetization is 3.42 μB per formula unit.

---

Copy entry 1 word for word.
The following is a DFT calculation (PBE-GGA) of crystalline V2Ni2As at its relaxed geometry.

abc: 5.982 5.982 3.695
angles: 90.00 90.00 90.00
Fractional positions:
Ni: 0.363 0.863 0.000
Ni: 0.863 0.637 0.000
Ni: 0.637 0.137 0.000
Ni: 0.137 0.363 0.000
As: 0.000 0.000 0.000
As: 0.500 0.500 0.000
V: 0.155 0.655 0.500
V: 0.655 0.845 0.500
V: 0.845 0.345 0.500
V: 0.345 0.155 0.500

Output
The value obtained for the energy of formation from the pure elements is -0.32 eV/f.u. As for the symmetry: P4/mbm. Its total magnetization is 1.28 μB per formula unit.

---

> What is the energy of formation from the pure elements in the first record?

-0.32 eV/f.u.